Record 1
{"formula": "CoNiPt2", "functional": "GGA-PBE", "state": "relaxed", "lattice_angstrom": [[3.6465, 0.0000, 0.0000], [0.0000, 3.8524, 0.0000], [0.0000, 0.0000, 3.8524]], "species": ["Pt", "Pt", "Ni", "Co"], "frac_coords": [[0.5000, 0.5000, 0.0000], [0.5000, 0.0000, 0.5000], [0.0000, 0.5000, 0.5000], [0.0000, 0.0000, 0.0000]], "spacegroup": "No. 123", "e_tot_ev_per_atom": -6.34, "delta_e_f_ev_per_atom": -0.095}

***

Record 2
{"formula": "CoNi6Pt4", "functional": "GGA-PBE", "state": "relaxed", "lattice_angstrom": [[5.4776, -2.1051, -3.9942], [-3.7762, 5.8580, 1.3464], [-1.3570, 2.1051, 6.6420]], "species": ["Ni", "Ni", "Pt", "Co", "Ni", "Pt", "Pt", "Ni", "Pt", "Ni", "Ni"], "frac_coords": [[0.5000, 0.0000, 0.5000], [0.6119, 0.1813, 0.1813], [0.5927, 0.9684, 0.9684], [0.0000, 0.0000, 0.0000], [0.3881, 0.5694, 0.5694], [0.0000, 0.6243, 0.0316], [0.0000, 0.0316, 0.6243], [0.5000, 0.5000, 0.0000], [0.4073, 0.3757, 0.3757], [0.0000, 0.4306, 0.8187], [0.0000, 0.8187, 0.4306]], "spacegroup": "No. 121", "e_tot_ev_per_atom": -5.84, "delta_e_f_ev_per_atom": 0.156}